VASP calculation (GGA+U) on a geometry-optimized MgMnI2O structure.

Output
VASP energy ... -3.956 eV/atom
V ... 25.60 Å³/atom
Distance to the lowest polymorph of the same formula ... 3.2 kJ/mol of atoms

Cell lengths 5.8007, 5.8007, 3.8036 Å; angles 90.00, 90.00, 90.00 degrees
With the nearest neighbours (Å) after each atom.
Space group P4/mmm (No. 123)
Symmetry-distinct sites (fractional):
Mg  0.0000  0.0000  0.0000  2 O 1.90
Mn  0.5000  0.5000  0.5000  8 I 3.47, 2 Mn 3.80
I  0.0000  0.5000  0.0000  2 Mg 2.90
O  0.0000  0.0000  0.5000  2 Mg 1.90